Sm3Zn3Ge2 after structural relaxation. Source: Alexandria, functional PBE.

Output
ΔE_f ... -0.570 eV/atom
Space-group type ... Cmcm
Calculated volume ... 364.54 Å³/cell

a b c (Å): 5.9593 5.9593 15.6319
angles (deg): 90.00 90.00 138.95
Closest atoms and distances in Å follow each position.
Fractional coordinates of all 16 atoms:
1 Sm 0.0784 0.9216 0.7500  5 Zn 3.04-3.29, 4 Ge 3.08
2 Sm 0.3591 0.6409 0.5914  4 Ge 3.09-3.36, 7 Zn 3.19-3.30
3 Sm 0.3591 0.6409 0.9086  4 Ge 3.09-3.36, 7 Zn 3.19-3.30
4 Sm 0.6409 0.3591 0.0914  4 Ge 3.09-3.36, 7 Zn 3.19-3.30
5 Sm 0.6409 0.3591 0.4086  4 Ge 3.09-3.36, 7 Zn 3.19-3.30
6 Sm 0.9216 0.0784 0.2500  5 Zn 3.04-3.29, 4 Ge 3.08
7 Zn 0.0737 0.9263 0.5551  1 Zn 2.38, 2 Ge 2.49
8 Zn 0.0737 0.9263 0.9449  1 Zn 2.38, 2 Ge 2.49
9 Zn 0.1938 0.8062 0.2500  2 Ge 2.66
10 Zn 0.8062 0.1938 0.7500  2 Ge 2.66
11 Zn 0.9263 0.0737 0.0551  1 Zn 2.38, 2 Ge 2.49
12 Zn 0.9263 0.0737 0.4449  1 Zn 2.38, 2 Ge 2.49
13 Ge 0.3416 0.6584 0.1168  3 Zn 2.49-2.66
14 Ge 0.3416 0.6584 0.3832  3 Zn 2.49-2.66
15 Ge 0.6584 0.3416 0.6168  3 Zn 2.49-2.66
16 Ge 0.6584 0.3416 0.8832  3 Zn 2.49-2.66


SmAgHg4 after structural relaxation. Source: Alexandria, functional PBE.

Output
Distance to the lowest polymorph of the same formula ... 0 meV per atom
ΔE_f ... -0.194 eV/atom
Space-group type ... P2/c
Calculated volume ... 284.93 Å³/cell

a b c (Å): 6.4724 8.6383 5.1691
angles (deg): 90.00 99.63 90.00
Closest atoms and distances in Å follow each position.
Fractional coordinates of all 12 atoms:
1 Sm 0.0000 0.2502 0.2500  2 Ag 3.24, 12 Hg 3.29-3.44
2 Sm 0.0000 0.7498 0.7500  2 Ag 3.24, 12 Hg 3.29-3.44
3 Ag 0.5000 0.2495 0.2500  8 Hg 3.00-3.29, 2 Sm 3.24
4 Ag 0.5000 0.7505 0.7500  8 Hg 3.00-3.29, 2 Sm 3.24
5 Hg 0.2568 0.0801 0.7922  5 Hg 2.93-3.28, 2 Ag 3.00-3.28
6 Hg 0.2570 0.4199 0.7933  5 Hg 2.93-3.28, 1 Ag 3.00
7 Hg 0.2570 0.5801 0.2933  5 Hg 2.93-3.28, 1 Ag 3.00
8 Hg 0.2568 0.9199 0.2922  5 Hg 2.93-3.28, 2 Ag 3.00-3.28
9 Hg 0.7432 0.0801 0.7078  5 Hg 2.93-3.28, 2 Ag 3.00-3.28
10 Hg 0.7430 0.4199 0.7067  5 Hg 2.93-3.28, 1 Ag 3.00
11 Hg 0.7430 0.5801 0.2067  5 Hg 2.93-3.28, 1 Ag 3.00
12 Hg 0.7432 0.9199 0.2078  5 Hg 2.93-3.28, 2 Ag 3.00-3.28


UAl4Ni5 after structural relaxation. Source: Alexandria, functional PBE.

Output
ΔE_f ... -0.531 eV/atom
Space-group type ... P4/mmm
Calculated volume ... 129.90 Å³/cell

a b c (Å): 2.9107 2.9107 15.3316
angles (deg): 90.00 90.00 90.00
Closest atoms and distances in Å follow each position.
Fractional coordinates of all 10 atoms:
1 U 0.0000 0.0000 0.0000  8 Ni 2.83, 4 U 2.91
2 Al 0.0000 0.0000 0.2196  8 Ni 2.51-2.52
3 Al 0.0000 0.0000 0.4065  8 Ni 2.50-2.51
4 Al 0.0000 0.0000 0.5935  8 Ni 2.50-2.51
5 Al 0.0000 0.0000 0.7804  8 Ni 2.51-2.52
6 Ni 0.5000 0.5000 0.1262  4 Al 2.51
7 Ni 0.5000 0.5000 0.3143  8 Al 2.50-2.52
8 Ni 0.5000 0.5000 0.5000  8 Al 2.51
9 Ni 0.5000 0.5000 0.6857  8 Al 2.50-2.52
10 Ni 0.5000 0.5000 0.8738  4 Al 2.51


RbCdSe3 after structural relaxation. Source: Alexandria, functional PBE.

Output
Energy relative to the elements, uncorrected ... 0.867 eV/atom
Distance to the lowest polymorph of the same formula ... 1024 meV per atom
Space-group type ... Pm-3m
Calculated volume ... 269.81 Å³/cell

a b c (Å): 6.4618 6.4618 6.4618
angles (deg): 90.00 90.00 90.00
Closest atoms and distances in Å follow each position.
Fractional coordinates of all 5 atoms:
1 Rb 0.0000 0.0000 0.0000  6 Se 3.23
2 Cd 0.5000 0.5000 0.5000  12 Se 4.57
3 Se 0.0000 0.0000 0.5000  2 Rb 3.23
4 Se 0.0000 0.5000 0.0000  2 Rb 3.23
5 Se 0.5000 0.0000 0.0000  2 Rb 3.23


CdGa2Mo2 after structural relaxation. Source: Alexandria, functional PBE.

Output
Distance to the lowest polymorph of the same formula ... 74 meV per atom
ΔE_f ... 0.222 eV/atom
Space-group type ... P4/mbm
Calculated volume ... 164.93 Å³/cell

a b c (Å): 6.9094 6.9094 3.4547
angles (deg): 90.00 90.00 90.00
Closest atoms and distances in Å follow each position.
Fractional coordinates of all 10 atoms:
1 Cd 0.0000 0.0000 0.0000  4 Ga 2.71
2 Cd 0.5000 0.5000 0.0000  4 Ga 2.71
3 Ga 0.1304 0.3696 0.0000  1 Ga 2.55, 6 Mo 2.65-2.68, 2 Cd 2.71
4 Ga 0.3696 0.8696 0.0000  1 Ga 2.55, 6 Mo 2.65-2.68, 2 Cd 2.71
5 Ga 0.6304 0.1304 0.0000  1 Ga 2.55, 6 Mo 2.65-2.68, 2 Cd 2.71
6 Ga 0.8696 0.6304 0.0000  1 Ga 2.55, 6 Mo 2.65-2.68, 2 Cd 2.71
7 Mo 0.1645 0.6645 0.5000  6 Ga 2.65-2.68
8 Mo 0.3355 0.1645 0.5000  6 Ga 2.65-2.68
9 Mo 0.6645 0.8355 0.5000  6 Ga 2.65-2.68
10 Mo 0.8355 0.3355 0.5000  6 Ga 2.65-2.68


BeMoH after structural relaxation. Source: Alexandria, functional PBE.

Output
Distance to the lowest polymorph of the same formula ... 490 meV per atom
Space-group type ... I4mm
Calculated volume ... 30.36 Å³/cell

a b c (Å): 4.7597 4.7597 4.7597
angles (deg): 147.89 147.89 46.05
Closest atoms and distances in Å follow each position.
Fractional coordinates of all 3 atoms:
1 Be 0.0000 0.0000 0.0000  5 Mo 2.53-2.63, 5 H 2.55-2.63, 4 Be 2.63
2 Mo 0.7113 0.7113 0.0000  4 H 2.02
3 H 0.3007 0.3007 0.0000  4 Mo 2.02


TmTaFe after structural relaxation. Source: Alexandria, functional PBE.

Output
ΔE_f ... 0.130 eV/atom
Space-group type ... Cmcm
Calculated volume ... 131.56 Å³/cell

a b c (Å): 7.8184 7.8184 4.2757
angles (deg): 90.00 90.00 149.78
Closest atoms and distances in Å follow each position.
Fractional coordinates of all 6 atoms:
1 Tm 0.0916 0.9084 0.7500  4 Fe 3.14, 4 Ta 3.14-3.21, 2 Tm 3.50
2 Tm 0.9084 0.0916 0.2500  4 Fe 3.14, 4 Ta 3.14-3.21, 2 Tm 3.50
3 Ta 0.2500 0.7500 0.2500  4 Fe 2.44-2.52
4 Ta 0.7500 0.2500 0.7500  4 Fe 2.44-2.52
5 Fe 0.3386 0.6614 0.7500  4 Ta 2.44-2.52
6 Fe 0.6614 0.3386 0.2500  4 Ta 2.44-2.52


La3Hg4Au2 after structural relaxation. Source: Alexandria, functional PBE.

Output
ΔE_f ... -0.603 eV/atom
Space-group type ... C2/m
Calculated volume ... 232.98 Å³/cell

a b c (Å): 6.1745 6.1745 9.3288
angles (deg): 115.04 115.04 47.64
Closest atoms and distances in Å follow each position.
Fractional coordinates of all 9 atoms:
1 La 0.0000 0.0000 0.0000  8 Hg 3.32-3.44, 4 Au 3.37, 2 La 3.60
2 La 0.3284 0.3284 0.3420  4 Au 3.30-3.46, 8 Hg 3.36-3.52, 2 La 3.60-3.63
3 La 0.6716 0.6716 0.6580  4 Au 3.30-3.46, 8 Hg 3.36-3.52, 2 La 3.60-3.63
4 Hg 0.0465 0.0465 0.3787  2 Au 2.86, 1 Hg 2.90
5 Hg 0.2786 0.2786 0.9411  1 Au 2.87, 2 Hg 2.92
6 Hg 0.7214 0.7214 0.0589  1 Au 2.87, 2 Hg 2.92
7 Hg 0.9535 0.9535 0.6213  2 Au 2.86, 1 Hg 2.90
8 Au 0.3956 0.3956 0.7263  3 Hg 2.86-2.87
9 Au 0.6044 0.6044 0.2737  3 Hg 2.86-2.87